# 1
KTlP2 | PBEsol | optimized geometry

The calculation puts the electronic total energy at -3.8054 eV per atom. The value obtained for the distance to the lowest polymorph of the same formula is 0 meV per atom. As for the formation energy from the elements: 0.1 eV per formula unit. The total moment comes out at 0.000 μB per atom.

It has space group P4/mmm (No. 123), with a = 4.141 Å, b = 4.141 Å, c = 6.598 Å, α = 90.00°, β = 90.00° and γ = 90.00°. The distinct sites, in fractional coordinates, are K at (0.000, 0.000, 0.000), Tl at (0.000, 0.000, 0.500) and P at (0.500, 0.500, 0.343).



# 2
TcSeBr2Cl | PBEsol | optimized geometry

The calculation puts the electronic total energy at -4.0091 eV per atom. As for the energy relative to the elements, uncorrected: 15.8 kJ per mole of atoms. The total moment comes out at 0.000 μB per atom.

It has space group P4/mmm (No. 123), with a = 4.976 Å, b = 4.976 Å, c = 4.706 Å, α = 90.00°, β = 90.00° and γ = 90.00°. The distinct sites, in fractional coordinates, are Tc at (0.000, 0.000, 0.000), Se at (0.000, 0.000, 0.500), Br at (0.000, 0.500, 0.000) and Cl at (0.500, 0.500, 0.500).



# 3
KTe2Se | PBEsol | optimized geometry

The calculation puts the electronic total energy at -3.0315 eV per atom. As for the energy relative to the elements, uncorrected: -2.2 kJ per mole of atoms. The total moment comes out at 0.000 μB per atom.

It has space group P4/mmm (No. 123), with a = 3.047 Å, b = 3.047 Å, c = 12.433 Å, α = 90.00°, β = 90.00° and γ = 90.00°. The distinct sites, in fractional coordinates, are K at (0.000, 0.000, 0.000), Te at (0.500, 0.500, 0.222) and Se at (0.000, 0.000, 0.500).



# 4
YZn5 | PBEsol | optimized geometry

The calculation puts the electronic total energy at -2.7602 eV per atom. As for the formation energy from the elements: -1.8 eV per formula unit. The total moment comes out at 0.000 μB per atom.

It has space group P6_3/mmc (No. 194), with a = 8.7183 Å, b = 8.7183 Å, c = 8.9179 Å, α = 90.00°, β = 90.00° and γ = 120.00°. The distinct sites, in fractional coordinates, are Y at (0.1866, 0.3731, 0.2500), Zn at (0.0000, 0.0000, 0.0000), Zn at (0.0000, 0.5000, 0.0000), Zn at (0.1362, 0.5681, 0.7500), Zn at (0.1618, 0.3235, 0.5916) and Zn at (0.3333, 0.6667, 0.0165).



# 5
ZrFe2Si | PBEsol | optimized geometry

The calculation puts the electronic total energy at -8.6421 eV per atom. As for the energy relative to the elements, uncorrected: -43.5 kJ per mole of atoms. The total moment comes out at 0.000 μB per atom.

It has space group P4/mmm (No. 123), with a = 4.059 Å, b = 4.059 Å, c = 3.064 Å, α = 90.00°, β = 90.00° and γ = 90.00°. The distinct sites, in fractional coordinates, are Zr at (0.000, 0.000, 0.000), Fe at (0.000, 0.500, 0.500) and Si at (0.500, 0.500, 0.000).



# 6
ZnBr3O | PBEsol | optimized geometry

The calculation puts the electronic total energy at -2.0790 eV per atom. As for the energy relative to the elements, uncorrected: 39.5 kJ per mole of atoms. The total moment comes out at 0.000 μB per atom.

It has space group Pm-3m (No. 221), with a = 4.663 Å, b = 4.663 Å, c = 4.663 Å, α = 90.00°, β = 90.00° and γ = 90.00°. The distinct sites, in fractional coordinates, are Zn at (0.000, 0.000, 0.000), Br at (0.000, 0.500, 0.500) and O at (0.500, 0.500, 0.500).



# 7
HfTiF6 | PBEsol | optimized geometry

The calculation puts the electronic total energy at -7.2266 eV per atom. As for the energy relative to the elements, uncorrected: -330.7 kJ per mole of atoms. The total moment comes out at 0.250 μB per atom.

It has space group Fm-3m (No. 225), with a = 8.113 Å, b = 8.113 Å, c = 8.113 Å, α = 90.00°, β = 90.00° and γ = 90.00°. The distinct sites, in fractional coordinates, are Hf at (0.000, 0.000, 0.000), Ti at (0.000, 0.000, 0.500) and F at (0.000, 0.000, 0.247).



# 8
LaSb2Rh | PBEsol | optimized geometry

The calculation puts the electronic total energy at -6.2091 eV per atom. As for the energy relative to the elements, uncorrected: -54.0 kJ per mole of atoms. The total moment comes out at 0.000 μB per atom.

It has space group Imm2 (No. 44), with a = 3.469 Å, b = 4.118 Å, c = 13.651 Å, α = 90.00°, β = 90.00° and γ = 90.00°. The distinct sites, in fractional coordinates, are La at (0.000, 0.000, 0.000), Sb at (0.000, 0.000, 0.377), Sb at (0.000, 0.500, 0.177) and Rh at (0.000, 0.500, 0.733).



# 9
POs2Se | PBEsol | optimized geometry

The calculation puts the electronic total energy at -7.9354 eV per atom. As for the energy relative to the elements, uncorrected: 56.2 kJ per mole of atoms. The value obtained for the distance to the lowest polymorph of the same formula is 303 meV per atom. The total moment comes out at 0.000 μB per atom.

It has space group Cmm2 (No. 35), with a = 2.775 Å, b = 4.840 Å, c = 9.527 Å, α = 90.00°, β = 90.00° and γ = 90.00°. The distinct sites, in fractional coordinates, are P at (0.000, 0.000, 0.000), Os at (0.000, 0.000, 0.557), Os at (0.000, 0.500, 0.800) and Se at (0.000, 0.500, 0.333).



# 10
SrTe2Cl | PBEsol | optimized geometry

The calculation puts the electronic total energy at -3.7888 eV per atom. As for the energy relative to the elements, uncorrected: -102.6 kJ per mole of atoms. The total moment comes out at 0.000 μB per atom.

It has space group Imm2 (No. 44), with a = 5.062 Å, b = 6.587 Å, c = 7.722 Å, α = 90.00°, β = 90.00° and γ = 90.00°. The distinct sites, in fractional coordinates, are Sr at (0.000, 0.000, 0.000), Te at (0.000, 0.000, 0.481), Te at (0.000, 0.500, 0.145) and Cl at (0.000, 0.500, 0.669).



# 11
YZnRe2 | PBEsol | optimized geometry

The calculation puts the electronic total energy at -8.3820 eV per atom. As for the formation energy from the elements: 1.5 eV per formula unit. The total moment comes out at 0.000 μB per atom.

It has space group C2/m (No. 12), with a = 5.498 Å, b = 9.412 Å, c = 2.755 Å, α = 90.00°, β = 112.76° and γ = 90.00°. The distinct sites, in fractional coordinates, are Y at (0.000, 0.000, 0.000), Zn at (0.000, 0.500, 0.000) and Re at (0.250, 0.250, 0.500).



# 12
Tl2CrPb | PBEsol | optimized geometry

The calculation puts the electronic total energy at -4.4346 eV per atom. The value obtained for the distance to the lowest polymorph of the same formula is 1 meV per atom. As for the formation energy from the elements: 1.8 eV per formula unit. The total moment comes out at 0.999 μB per atom.

It has space group Immm (No. 71), with a = 3.374 Å, b = 5.333 Å, c = 10.821 Å, α = 90.00°, β = 90.00° and γ = 90.00°. The distinct sites, in fractional coordinates, are Tl at (0.000, 0.000, 0.220), Cr at (0.000, 0.500, 0.500) and Pb at (0.000, 0.500, 0.000).